## YRuI2O (PBE-GGA)

Data for YRuI2O after structural relaxation.

a = 5.673 Å, b = 5.673 Å, c = 3.757 Å
α = 90.00°, β = 90.00°, γ = 90.00°
Sites, in units of the cell vectors:
Ru 0.000 0.000 0.000
Y 0.500 0.500 0.500
I 0.000 0.500 0.000
I 0.500 0.000 0.000
O 0.000 0.000 0.500

Output
The calculation puts the energy above the most stable polymorph in this dataset at 0.0 kJ per mole of atoms. For the total energy, the calculation gives -5.18 eV per atom. Its total magnetic moment is 0.00 μB/cell. The calculation puts the energy relative to the elements, uncorrected at -201 kJ/mol of formula units.

## YRuI2O (PBE-GGA)

Data for YRuI2O after structural relaxation.

a = 6.140 Å, b = 6.140 Å, c = 4.144 Å
α = 90.00°, β = 90.00°, γ = 90.00°
Site moments in Bohr magnetons follow the coordinates.
Sites, in units of the cell vectors:
I 0.000 0.500 0.000  0.04
I 0.500 0.000 0.000  0.04
Ru 0.500 0.500 0.500  2.62
O 0.000 0.000 0.500  0.02
Y 0.000 0.000 0.000  0.00

Output
The calculation puts the energy above the most stable polymorph in this dataset at 4.4 kJ per mole of atoms. For the total energy, the calculation gives -5.13 eV per atom. Its total magnetic moment is 3.04 μB/cell. The calculation puts the energy relative to the elements, uncorrected at -179 kJ/mol of formula units.

## ZrRuI2O (PBE-GGA)

Data for ZrRuI2O after structural relaxation.

a = 5.834 Å, b = 5.834 Å, c = 3.967 Å
α = 90.00°, β = 90.00°, γ = 90.00°
Site moments in Bohr magnetons follow the coordinates.
Sites, in units of the cell vectors:
Zr 0.000 0.000 0.000  0.22
I 0.500 0.000 0.000  0.04
I 0.000 0.500 0.000  0.04
Ru 0.500 0.500 0.500  2.37
O 0.000 0.000 0.500  -0.01

Output
The calculation puts the energy above the most stable polymorph in this dataset at 0.0 kJ per mole of atoms. For the total energy, the calculation gives -5.38 eV per atom. Its total magnetic moment is 3.01 μB/cell. The calculation puts the energy relative to the elements, uncorrected at -100 kJ/mol of formula units.

## ZrRuI2O (PBE-GGA)

Data for ZrRuI2O after structural relaxation.

a = 5.587 Å, b = 5.587 Å, c = 3.708 Å
α = 90.00°, β = 90.00°, γ = 90.00°
Site moments in Bohr magnetons follow the coordinates.
Sites, in units of the cell vectors:
I 0.500 0.000 0.000  -0.03
I 0.000 0.500 0.000  -0.03
O 0.000 0.000 0.500  0.04
Ru 0.000 0.000 0.000  0.05
Zr 0.500 0.500 0.500  1.16

Output
The calculation puts the energy above the most stable polymorph in this dataset at 21.1 kJ per mole of atoms. For the total energy, the calculation gives -5.16 eV per atom. Its total magnetic moment is 1.84 μB/cell. The calculation puts the energy relative to the elements, uncorrected at 6 kJ/mol of formula units.

## SI2O2 (PBE-GGA)

Data for SI2O2 after structural relaxation.

a = 4.071 Å, b = 4.071 Å, c = 7.044 Å
α = 90.00°, β = 90.00°, γ = 90.00°
Sites, in units of the cell vectors:
O 0.000 0.500 0.000
O 0.500 0.000 0.000
I 0.000 0.000 0.500
I 0.500 0.500 0.500
S 0.000 0.000 0.000

Output
For the total energy, the calculation gives -2.82 eV per atom. Its total magnetic moment is 0.00 μB/cell. The calculation puts the energy relative to the elements, uncorrected at 295 kJ/mol of formula units.

## S6IO2 (PBE-GGA)

Data for S6IO2 after structural relaxation.

a = 9.085 Å, b = 9.085 Å, c = 9.666 Å
α = 57.09°, β = 57.09°, γ = 64.17°
Site moments in Bohr magnetons follow the coordinates.
Sites, in units of the cell vectors:
I 0.170 0.830 0.750  0.22
I 0.830 0.170 0.250  0.22
O 0.375 0.811 0.757  0.24
O 0.189 0.625 0.743  0.24
O 0.811 0.375 0.257  0.24
O 0.625 0.189 0.243  0.24
S 0.698 0.960 0.839  0.00
S 0.657 0.371 0.638  0.00
S 0.302 0.040 0.161  0.00
S 0.343 0.629 0.362  0.00
S 0.960 0.698 0.339  0.00
S 0.371 0.657 0.138  0.00
S 0.660 0.020 0.019  0.00
S 0.980 0.340 0.481  0.00
S 0.040 0.302 0.661  0.00
S 0.020 0.660 0.519  0.00
S 0.340 0.980 0.981  0.00
S 0.629 0.343 0.862  0.00

Output
For the total energy, the calculation gives -3.94 eV per atom. Its total magnetic moment is 1.94 μB/cell. The calculation puts the energy relative to the elements, uncorrected at 71 kJ/mol of formula units.